Arrangement w

The following is a PBE-GGA calculation of crystalline ZnTe2NO at its relaxed geometry, from Alexandria via LeMat-Bulk.

Cell: 4.941 3.918 4.941 Å, 90.00 90.00 90.00°
Positions (direct):
N 0.500 0.500 0.500
Te 0.000 0.000 0.500
O 0.000 0.000 0.000
Te 0.500 0.000 0.000
Zn 0.000 0.500 0.000

Values from the calculation:
Its magnetization is 0.001 μB per atom. Its space group is P4/mmm.

Arrangement x

The following is a PBE-GGA calculation of crystalline ZnTe2NO at its relaxed geometry, from Alexandria via LeMat-Bulk.

Cell: 5.371 5.371 3.569 Å, 90.00 90.00 90.00°
Last column: magnetic moment on the atom in μB.
Positions (direct):
N 0.000 0.000 0.500  0.60
Te 0.500 0.000 0.000  0.07
Zn 0.000 0.000 0.000  0.03
Te 0.000 0.500 0.000  0.07
O 0.500 0.500 0.500  0.67

Values from the calculation:
Its magnetization is 0.375 μB per atom. Its space group is P4/mmm.

Top of the stability list: arrangement w, leading by 15.0 kJ/mol of atoms.

Arrangement w

The following is a PBE-GGA calculation of crystalline ThNO at its relaxed geometry, from Alexandria via LeMat-Bulk.

Cell: 3.970 5.834 7.895 Å, 90.00 90.00 90.00°
Last column: magnetic moment on the atom in μB.
Positions (direct):
Th 0.250 0.237 0.128  0.09
Th 0.750 0.737 0.372  0.09
O 0.250 0.004 0.872  0.06
N 0.250 0.503 0.891  0.61
N 0.250 0.997 0.391  0.61
O 0.750 0.996 0.128  0.06
N 0.750 0.497 0.109  0.61
Th 0.750 0.763 0.872  0.09
O 0.250 0.496 0.372  0.06
N 0.750 0.003 0.609  0.61
O 0.750 0.504 0.628  0.06
Th 0.250 0.263 0.628  0.09

Values from the calculation:
Its magnetization is 0.333 μB per atom. Its space group is Pnma.

Arrangement x

The following is a PBE-GGA calculation of crystalline ThNO at its relaxed geometry, from Alexandria via LeMat-Bulk.

Cell: 4.006 4.006 4.006 Å, 60.00 60.00 60.00°
Last column: magnetic moment on the atom in μB.
Positions (direct):
O 0.000 0.000 0.000  0.19
Th 0.250 0.250 0.250  0.07
N 0.500 0.500 0.500  0.51

Values from the calculation:
Its magnetization is 0.337 μB per atom. Its space group is F-43m.

Top of the stability list: arrangement w, leading by 7.7 kJ/mol of atoms.

Arrangement w

The following is a PBE-GGA calculation of crystalline TiN2O2 at its relaxed geometry, from Alexandria via LeMat-Bulk.

Cell: 3.035 3.036 9.437 Å, 91.28 90.00 119.99°
Positions (direct):
O 0.329 0.657 0.899
O 0.671 0.343 0.101
N 0.998 0.996 0.441
Ti 0.000 0.000 0.000
N 0.002 0.004 0.559

Values from the calculation:
Its magnetization is 0.000 μB per atom. Its space group is C2/m.

Arrangement x

The following is a PBE-GGA calculation of crystalline TiN2O2 at its relaxed geometry, from Alexandria via LeMat-Bulk.

Cell: 3.496 3.496 3.476 Å, 90.00 90.00 90.00°
Positions (direct):
O 0.000 0.000 0.000
Ti 0.500 0.500 0.500
N 0.000 0.500 0.000
N 0.500 0.000 0.000
O 0.000 0.000 0.500

Values from the calculation:
Its magnetization is 0.000 μB per atom. Its space group is P4/mmm.

Arrangement y

The following is a PBE-GGA calculation of crystalline TiN2O2 at its relaxed geometry, from Alexandria via LeMat-Bulk.

Cell: 3.750 3.750 4.188 Å, 90.00 90.00 90.00°
Last column: magnetic moment on the atom in μB.
Positions (direct):
N 0.000 0.000 0.500  -0.29
Ti 0.000 0.000 0.000  0.08
O 0.000 0.500 0.000  -0.28
N 0.500 0.500 0.500  -0.16
O 0.500 0.000 0.000  -0.28

Values from the calculation:
Its magnetization is 0.242 μB per atom. Its space group is P4/mmm.

Top of the stability list: arrangement w, leading by 227.8 kJ/mol of atoms.

Arrangement w

The following is a PBE-GGA calculation of crystalline Tm2NO at its relaxed geometry, from Alexandria via LeMat-Bulk.

Cell: 5.835 5.832 7.535 Å, 104.91 104.92 109.57°
Positions (direct):
N 0.938 0.688 0.375
N 0.187 0.937 0.875
Tm 0.302 0.060 0.625
Tm 0.942 0.183 0.875
Tm 0.177 0.436 0.375
O 0.311 0.561 0.123
Tm 0.433 0.692 0.875
N 0.813 0.063 0.125
N 0.062 0.312 0.625
Tm 0.058 0.817 0.125
O 0.436 0.186 0.373
Tm 0.698 0.940 0.375
O 0.689 0.439 0.877
Tm 0.567 0.308 0.125
O 0.564 0.814 0.627
Tm 0.823 0.564 0.625

Values from the calculation:
Its magnetization is 0.000 μB per atom. Its space group is C2/c.

Arrangement x

The following is a PBE-GGA calculation of crystalline Tm2NO at its relaxed geometry, from Alexandria via LeMat-Bulk.

Cell: 3.316 3.316 6.107 Å, 74.24 74.24 60.00°
Positions (direct):
Tm 0.257 0.257 0.230
Tm 0.077 0.077 0.770
O 0.498 0.498 0.507
N 0.669 0.669 0.992

Values from the calculation:
Its magnetization is 0.000 μB per atom. Its space group is R3m.

Top of the stability list: arrangement w, leading by 14.2 kJ/mol of atoms.

Arrangement w

The following is a PBE-GGA calculation of crystalline Tm4N3O at its relaxed geometry, from Alexandria via LeMat-Bulk.

Cell: 3.384 5.857 5.857 Å, 70.62 90.00 90.00°
Positions (direct):
N 0.000 0.000 0.000
N 0.000 0.500 0.500
O 0.500 0.500 0.000
Tm 0.500 0.753 0.253
Tm 0.000 0.756 0.744
N 0.500 0.000 0.500
Tm 0.500 0.248 0.747
Tm 0.000 0.244 0.256

Values from the calculation:
Its magnetization is 0.000 μB per atom. Its space group is Cmmm.

Arrangement x

The following is a PBE-GGA calculation of crystalline Tm4N3O at its relaxed geometry, from Alexandria via LeMat-Bulk.

Cell: 4.784 4.784 4.784 Å, 90.00 90.00 90.00°
Positions (direct):
Tm 0.000 0.500 0.000
O 0.000 0.000 0.000
Tm 0.500 0.000 0.000
N 0.500 0.000 0.500
Tm 0.500 0.500 0.500
N 0.000 0.500 0.500
Tm 0.000 0.000 0.500
N 0.500 0.500 0.000

Values from the calculation:
Its magnetization is 0.000 μB per atom. Its space group is Pm-3m.

Top of the stability list: arrangement w, leading by 2.3 kJ/mol of atoms.

Arrangement w

The following is a PBE-GGA calculation of crystalline UNO at its relaxed geometry, from Alexandria via LeMat-Bulk.

Cell: 3.770 3.770 3.770 Å, 60.00 60.00 60.00°
Last column: magnetic moment on the atom in μB.
Positions (direct):
N 0.000 0.000 0.000  -0.08
O 0.500 0.500 0.500  -0.05
U 0.250 0.250 0.250  1.10

Values from the calculation:
Its magnetization is 0.339 μB per atom. Its space group is F-43m.

Arrangement x

The following is a PBE-GGA calculation of crystalline UNO at its relaxed geometry, from Alexandria via LeMat-Bulk.

Cell: 3.773 5.350 7.517 Å, 90.00 90.00 90.00°
Last column: magnetic moment on the atom in μB.
Positions (direct):
N 0.250 0.014 0.373  -0.08
U 0.750 0.736 0.874  1.09
N 0.750 0.514 0.127  -0.08
O 0.750 0.487 0.621  -0.05
O 0.750 0.013 0.121  -0.05
U 0.250 0.264 0.126  1.09
U 0.750 0.764 0.374  1.09
N 0.750 0.986 0.627  -0.08
U 0.250 0.236 0.626  1.09
O 0.250 0.513 0.379  -0.05
O 0.250 0.987 0.879  -0.05
N 0.250 0.486 0.873  -0.08

Values from the calculation:
Its magnetization is 0.338 μB per atom. Its space group is Pnma.

Top of the stability list: arrangement x, leading by 1.8 kJ/mol of atoms.